[1]
Density functional theory data (PBE) for an optimized crystal structure of TmBi2S6.

## Properties
- Size of the total moment: 0.00 μB per cell
- Crystal system: tetragonal
- Uncorrected formation energy: -38.25 kJ/mol of atoms
- D(E_F): 0.847 states/eV per atom

Cell: 6.2426 6.2426 12.6025 Å, 90.00 90.00 90.00°
Closest atoms and distances in Å follow each position.
Space group P4_2/mnm (No. 136)
One atom of each set of equivalent atoms:
Tm1 0.0000 0.0000 0.0000 [2 per cell]  6 S 2.67-2.68
Bi1 0.0000 0.0000 0.3357 [4 per cell]  6 S 2.71-2.73
S1 0.1909 0.1909 0.1651 [8 per cell]  1 Tm 2.68, 2 Bi 2.73
S2 0.1976 0.1976 0.5000 [4 per cell]  1 Tm 2.67, 2 Bi 2.71

[2]
Density functional theory data (PBE) for an optimized crystal structure of AgHg3.

## Properties
- Size of the total moment: 0.00 μB per cell
- Crystal system: orthorhombic
- E: -0.8343 eV/atom
- D(E_F): 0.357 states/eV per atom

Cell: 5.8540 11.3271 5.6017 Å, 90.00 90.00 90.00°
Closest atoms and distances in Å follow each position.
Space group Cmcm (No. 63)
One atom of each set of equivalent atoms:
Ag1 0.0000 0.1163 0.2500 [4 per cell]  10 Hg 2.93-3.26
Hg1 0.0000 0.3726 0.7500 [4 per cell]  2 Ag 2.93, 8 Hg 3.14-3.23
Hg2 0.2485 0.1266 0.7500 [8 per cell]  6 Hg 2.91-3.23, 3 Ag 3.11-3.16

[3]
Density functional theory data (PBE) for an optimized crystal structure of BeZn2Ag.

## Properties
- Size of the total moment: 0.00 μB per cell
- Crystal system: orthorhombic
- E: -2.1036 eV/atom
- D(E_F): 0.133 states/eV per atom

Cell: 3.0413 4.4692 8.3647 Å, 90.00 90.00 90.00°
Closest atoms and distances in Å follow each position.
Space group Cmm2 (No. 35)
One atom of each set of equivalent atoms:
Be1 0.0000 0.0000 0.0000 [2 per cell]  2 Zn 2.41, 2 Ag 2.45, 4 Be 2.70
Zn1 0.0000 0.0000 0.5087 [2 per cell]  6 Zn 2.70, 2 Ag 2.79
Zn2 0.0000 0.5000 0.7759 [2 per cell]  2 Be 2.41, 6 Zn 2.70
Ag1 0.0000 0.5000 0.2296 [2 per cell]  2 Be 2.45, 4 Ag 2.70

[4]
Density functional theory data (PBE) for an optimized crystal structure of KCdBS3.

## Properties
- Size of the total moment: 0.00 μB per cell
- Crystal system: orthorhombic
- Uncorrected formation energy: -58.20 kJ/mol of atoms

Cell: 3.5488 14.1441 11.0407 Å, 90.00 90.00 90.00°
Closest atoms and distances in Å follow each position.
Space group Cmcm (No. 63)
One atom of each set of equivalent atoms:
K1 0.0000 0.2370 0.2500 [4 per cell]  6 S 3.20-3.23, 2 K 3.55
Cd1 0.0000 0.5000 0.0000 [4 per cell]  6 S 2.65-2.84
B1 0.0000 0.0423 0.7500 [4 per cell]  2 S 1.89
S1 0.0000 0.1129 0.6044 [8 per cell]  1 B 1.89
S2 0.0000 0.4539 0.7500 [4 per cell]  2 B 2.17

[5]
Density functional theory data (PBE) for an optimized crystal structure of Cs3Li2F5.

## Properties
- Size of the total moment: 0.00 μB per cell
- Crystal system: orthorhombic
- Uncorrected formation energy: -263.85 kJ/mol of atoms
- D(E_F): 0.000 states/eV per atom

Cell: 5.8766 22.7743 5.8759 Å, 90.00 90.00 90.00°
Closest atoms and distances in Å follow each position.
Space group Fmm2 (No. 42)
One atom of each set of equivalent atoms:
Cs1 0.0000 0.0000 0.0000 [4 per cell]  6 F 2.94-3.16
Cs2 0.0000 0.1378 0.4968 [8 per cell]  5 F 2.94-3.14, 1 Li 3.16
Li1 0.0000 0.2236 0.9962 [8 per cell]  5 F 1.93-2.16
F1 0.0000 0.0000 0.5003 [4 per cell]  6 Cs 2.94-3.14
F2 0.0000 0.1388 0.9966 [8 per cell]  1 Li 1.93
F3 0.2500 0.2500 0.2458 [8 per cell]  4 Li 2.16

[6]
Density functional theory data (PBE) for an optimized crystal structure of SiBiIrAu.

## Properties
- Size of the total moment: 0.00 μB per cell
- Crystal system: monoclinic
- Uncorrected formation energy: -3.49 kJ/mol of atoms
- D(E_F): 0.529 states/eV per atom

Cell: 3.0556 3.0553 8.8912 Å, 90.00 90.32 90.00°
Closest atoms and distances in Å follow each position.
Space group Pm (No. 6)
One atom of each set of equivalent atoms:
Si1 0.0000 0.0000 0.0000 [1 per cell]  4 Ir 2.43
Bi1 0.0103 0.0000 0.3126 [1 per cell]  1 Si 2.78, 1 Au 2.97, 4 Bi 3.06
Ir1 0.4981 0.5000 0.8746 [1 per cell]  4 Si 2.43
Au1 0.9932 0.0000 0.6465 [1 per cell]  4 Ir 2.96-2.97, 1 Bi 2.97, 4 Au 3.06, 1 Si 3.14

[7]
Density functional theory data (PBE) for an optimized crystal structure of SrAc2LaS4.

## Properties
- Size of the total moment: 0.00 μB per cell
- Crystal system: monoclinic
- Uncorrected formation energy: -198.44 kJ/mol of atoms
- D(E_F): 0.470 states/eV per atom

Cell: 7.3880 4.2375 7.3887 Å, 90.00 109.19 90.00°
Closest atoms and distances in Å follow each position.
Space group P2/m (No. 10)
One atom of each set of equivalent atoms:
Sr1 0.0000 0.0000 0.0000 [1 per cell]  6 S 2.98-2.99
Ac1 0.5000 0.0000 0.5000 [1 per cell]  6 S 3.04-3.05
Ac2 0.5000 0.5000 0.0000 [1 per cell]  6 S 3.05
La1 0.0000 0.5000 0.5000 [1 per cell]  6 S 2.97
S1 0.2407 0.0000 0.7463 [2 per cell]  2 La 2.97, 1 Sr 2.98, 3 Ac 3.05
S2 0.2428 0.5000 0.2492 [2 per cell]  1 La 2.97, 2 Sr 2.99, 3 Ac 3.04-3.05

[8]
Density functional theory data (PBE) for an optimized crystal structure of CaVIN2.

## Properties
- Size of the total moment: 0.68 μB per cell
- Crystal system: tetragonal
- Uncorrected formation energy: 172.73 kJ/mol of atoms
- D(E_F): 1.954 states/eV per atom

Cell: 4.3235 4.3235 5.8377 Å, 90.00 90.00 90.00°
Closest atoms and distances in Å follow each position.
Space group P4/mmm (No. 123)
One atom of each set of equivalent atoms:
Ca1 0.0000 0.0000 0.0000 [1 per cell]  4 N 2.16
V1 0.5000 0.5000 0.5000 [1 per cell]  4 I 3.06
I1 0.0000 0.0000 0.5000 [1 per cell]  2 Ca 2.92, 4 V 3.06
N1 0.0000 0.5000 0.0000 [2 per cell]  2 Ca 2.16

[9]
Density functional theory data (PBE) for an optimized crystal structure of Zr2Ni4Rh.

## Properties
- Size of the total moment: 0.00 μB per cell
- Crystal system: tetragonal
- E: -7.1950 eV/atom
- D(E_F): 0.646 states/eV per atom

Cell: 3.4676 3.4676 17.0832 Å, 90.00 90.00 90.00°
Closest atoms and distances in Å follow each position.
Space group I4/mmm (No. 139)
One atom of each set of equivalent atoms:
Zr1 0.0000 0.0000 0.0991 [4 per cell]  4 Ni 2.62
Ni1 0.0000 0.0000 0.3474 [4 per cell]  4 Ni 2.40, 1 Rh 2.61, 4 Zr 2.62
Ni2 0.0000 0.5000 0.2500 [4 per cell]  8 Ni 2.40-2.45
Rh1 0.0000 0.0000 0.5000 [2 per cell]  2 Ni 2.61

[10]
Density functional theory data (PBE) for an optimized crystal structure of LaAg2Ge2.

## Properties
- Size of the total moment: 0.00 μB per cell
- Crystal system: tetragonal
- E: -4.2669 eV/atom
- D(E_F): 0.444 states/eV per atom

Cell: 4.6503 4.6503 10.2659 Å, 90.00 90.00 90.00°
Closest atoms and distances in Å follow each position.
Space group I4/mmm (No. 139)
One atom of each set of equivalent atoms:
La1 0.0000 0.0000 0.0000 [2 per cell]  8 Ge 3.46, 10 Ag 3.55-3.80
Ag1 0.0000 0.0000 0.3697 [4 per cell]  4 Ge 2.63, 1 Ag 2.68
Ge1 0.0000 0.5000 0.2500 [4 per cell]  4 Ag 2.63

[11]
Density functional theory data (PBE) for an optimized crystal structure of MgPBr2.

## Properties
- Size of the total moment: 3.81 μB per cell
- Crystal system: trigonal
- Uncorrected formation energy: -27.35 kJ/mol of atoms
- D(E_F): 0.397 states/eV per atom

Cell: 3.6322 3.6322 34.1293 Å, 90.00 90.00 120.00°
Closest atoms and distances in Å follow each position.
Space group R-3m (No. 166, hexagonal axes)
One atom of each set of equivalent atoms:
Mg1 0.0000 0.0000 0.0000 [3 per cell]  6 Br 2.64
P1 0.0000 0.0000 0.5000 [3 per cell]  6 P 3.63
Br1 0.0000 0.0000 0.2866 [6 per cell]  3 Mg 2.64

[12]
Density functional theory data (PBE) for an optimized crystal structure of LaGe2Bi2Pt7.

## Properties
- Size of the total moment: 0.00 μB per cell
- Crystal system: monoclinic
- E: -5.8692 eV/atom
- D(E_F): 0.333 states/eV per atom

Cell: 5.7435 5.7413 15.9026 Å, 90.00 100.35 90.00°
Closest atoms and distances in Å follow each position.
Space group C2/m (No. 12)
One atom of each set of equivalent atoms:
La1 0.0000 0.0000 0.0000 [2 per cell]  12 Pt 2.87-3.07
Ge1 0.1184 0.5000 0.2406 [4 per cell]  5 Pt 2.45-2.50
Bi1 0.2108 0.0000 0.4223 [4 per cell]  5 Pt 2.82-2.90
Pt1 0.0000 0.5000 0.0000 [2 per cell]  4 La 2.87, 8 Pt 3.06-3.07
Pt2 0.1777 0.2498 0.8531 [8 per cell]  2 Ge 2.50
Pt3 0.1989 0.5000 0.3973 [4 per cell]  1 Ge 2.45